# In2Ni2Br | the Alexandria database | PBE | relaxed
# ΔE to the lowest computed polymorph: 186 meV per atom
data_In2Ni2Br
_chemical_formula_sum 'In2 Ni2 Br1'
_cell_length_a 6.347
_cell_length_b 6.347
_cell_length_c 6.347
_cell_angle_alpha 140.32
_cell_angle_beta 140.32
_cell_angle_gamma 57.37
_space_group_name_H-M_alt 'P 1'
_space_group_IT_number 1
loop_
_space_group_symop_operation_xyz
'x,y,z'
loop_
_atom_site_label
_atom_site_fract_x
_atom_site_fract_y
_atom_site_fract_z
In1 0.250 0.750 0.500
In2 0.750 0.250 0.500
Ni1 0.110 0.110 0.000
Ni2 0.890 0.890 0.000
Br1 0.500 0.500 0.000